[1]
CaPd3Pb PBE relaxed; E above lowest polymorph = 0 meV/atom; magnetization = 0.00 μB/atom
1.0
-2.825 3.885 4.718
2.825 -3.885 4.718
2.825 3.885 -4.718
Ca Pd Pb
2 6 2
Cartesian
0.000 1.943 0.040
2.825 1.943 4.678
2.825 1.943 -1.932
1.412 4.390 -2.359
1.412 0.504 2.359
-1.412 3.381 2.359
1.412 3.381 2.359
0.000 1.943 6.651
2.825 0.000 0.000
0.000 0.000 4.718

---

[2]
CaPdPb2 PBE relaxed; magnetization = 0.00 μB/atom
1.0
3.574 0.000 0.000
0.000 3.574 0.000
0.000 0.000 7.853
Ca Pd Pb
1 1 2
Cartesian
0.000 0.000 0.000
0.000 0.000 3.926
1.787 1.787 2.286
1.787 1.787 5.567

---

[3]
Ca4Pd2Pb5 PBE relaxed; magnetization = 0.00 μB/atom
1.0
8.180 0.000 0.000
0.000 3.759 0.000
-0.464 0.000 9.846
Ca Pd Pb
4 2 5
Cartesian
1.468 0.000 3.444
1.311 0.000 9.098
6.406 0.000 0.747
6.249 0.000 6.402
0.598 1.879 1.333
7.118 1.879 8.513
0.852 1.879 6.267
3.578 1.879 1.583
3.858 1.879 4.923
4.138 1.879 8.263
6.865 1.879 3.578

---

[4]
Ca6PdPb3 PBE relaxed; magnetization = 0.00 μB/atom
1.0
9.959 0.000 0.000
0.000 5.278 0.000
-2.886 0.000 11.353
Ca Pd Pb
12 2 6
Cartesian
-0.771 1.320 4.673
1.197 3.959 2.092
2.821 1.320 0.140
1.154 3.959 9.565
2.807 1.320 3.837
2.088 1.320 7.250
4.985 3.959 4.103
4.266 3.959 7.516
5.919 1.320 1.788
4.252 3.959 11.213
5.876 1.320 9.261
7.845 3.959 6.679
4.136 3.959 1.320
2.938 1.320 10.033
-2.243 3.959 10.081
-0.872 1.320 8.335
1.442 3.959 5.500
5.631 1.320 5.853
7.945 3.959 3.018
9.316 1.320 1.271

---

[5]
Ca2Pd5Pb3 PBE relaxed; magnetization = 0.00 μB/atom
1.0
2.258 -13.112 0.000
2.258 13.112 0.000
0.000 0.000 7.314
Ca Pd Pb
4 10 6
Cartesian
2.258 12.450 3.657
2.258 4.906 2.425
2.258 -4.906 6.082
2.258 -12.450 0.000
2.258 10.128 5.517
2.258 7.778 3.943
2.258 7.364 0.638
2.258 3.129 7.296
2.258 1.200 5.182
2.258 -1.200 1.525
2.258 -3.129 3.639
2.258 -7.364 4.295
2.258 -7.778 0.286
2.258 -10.128 1.860
2.258 10.119 1.293
2.258 5.539 5.879
2.258 1.464 2.349
2.258 -1.464 6.006
2.258 -5.539 2.222
2.258 -10.119 4.951

---

[6]
Ca5Pd4Pb PBE relaxed; magnetization = 0.00 μB/atom
1.0
3.551 0.000 0.000
0.000 3.551 0.000
0.000 0.000 18.747
Ca Pd Pb
5 4 1
Cartesian
0.000 0.000 0.000
0.000 0.000 3.501
0.000 0.000 7.025
0.000 0.000 11.722
0.000 0.000 15.246
1.775 1.775 1.756
1.775 1.775 5.258
1.775 1.775 13.489
1.775 1.775 16.991
1.775 1.775 9.374

---

These records have energy relative to the elements values of -429; -313; -510; -477; -482; -641 meV/atom, in the order they appear.